! Cs2NiMo (GGA-PBE, relaxed); values from VASP
&SYSTEM
  ibrav = 0, nat = 16, ntyp = 3
/
ATOMIC_SPECIES
Cs 132.91 Cs.upf
Ni 58.69 Ni.upf
Mo 95.94 Mo.upf
CELL_PARAMETERS angstrom
7.861 0.000 0.000
0.000 7.861 0.000
0.000 0.000 7.861
ATOMIC_POSITIONS angstrom
Cs 1.965 1.965 1.965
Cs 1.965 1.965 5.895
Cs 1.965 5.895 1.965
Cs 1.965 5.895 5.895
Cs 5.895 1.965 1.965
Cs 5.895 1.965 5.895
Cs 5.895 5.895 1.965
Cs 5.895 5.895 5.895
Ni 0.000 0.000 0.000
Ni 0.000 3.930 3.930
Ni 3.930 0.000 3.930
Ni 3.930 3.930 0.000
Mo 0.000 0.000 3.930
Mo 0.000 3.930 0.000
Mo 3.930 0.000 0.000
Mo 3.930 3.930 3.930
! SG ... Fm-3m (225)
! Energy ... -2.70 eV/atom

! CsNi3Mo (GGA-PBE, relaxed); values from VASP
&SYSTEM
  ibrav = 0, nat = 5, ntyp = 3
/
ATOMIC_SPECIES
Cs 132.91 Cs.upf
Ni 58.69 Ni.upf
Mo 95.94 Mo.upf
CELL_PARAMETERS angstrom
4.733 0.000 0.000
0.000 4.733 0.000
0.000 0.000 4.733
ATOMIC_POSITIONS angstrom
Cs 0.000 0.000 0.000
Ni 0.000 0.000 2.367
Ni 0.000 2.367 0.000
Ni 2.367 0.000 0.000
Mo 2.367 2.367 2.367
! SG ... Pm-3m (221)
! Energy ... -3.33 eV/atom
! Energy above the lowest structure with this stoichiometry ... 1258 meV per atom

! CsNi3Mo (GGA-PBE, relaxed); values from VASP
&SYSTEM
  ibrav = 0, nat = 5, ntyp = 3
/
ATOMIC_SPECIES
Cs 132.91 Cs.upf
Ni 58.69 Ni.upf
Mo 95.94 Mo.upf
CELL_PARAMETERS angstrom
4.772 0.000 0.000
0.000 4.772 0.000
0.000 0.000 4.772
ATOMIC_POSITIONS angstrom
Cs 0.000 0.000 0.000
Ni 0.000 2.386 2.386
Ni 2.386 0.000 2.386
Ni 2.386 2.386 0.000
Mo 2.386 2.386 2.386
! SG ... Pm-3m (221)
! Energy ... -4.58 eV/atom
! Energy above the lowest structure with this stoichiometry ... 0 meV per atom

! Cs3NiMo (GGA-PBE, relaxed); values from VASP
&SYSTEM
  ibrav = 0, nat = 5, ntyp = 3
/
ATOMIC_SPECIES
Cs 132.91 Cs.upf
Ni 58.69 Ni.upf
Mo 95.94 Mo.upf
CELL_PARAMETERS angstrom
6.581 0.000 0.000
0.000 6.581 0.000
0.000 0.000 6.581
ATOMIC_POSITIONS angstrom
Cs 0.000 0.000 3.291
Cs 0.000 3.291 0.000
Cs 3.291 0.000 0.000
Ni 0.000 0.000 0.000
Mo 3.291 3.291 3.291
! SG ... Pm-3m (221)
! Energy ... -2.47 eV/atom

Magnetization per entry: 5.80, 4.21, 0.00, 5.00 μB/f.u.